DFT (PBE) results for a relaxed PmNd5Tl crystal.

Calculated values
- formation enthalpy at 0 K (eV per atom) = 0.153
- magnetic moment (μB per atom) = 0.00
- crystal system = tetragonal
- Fermi-level density of states (states/eV per cell) = 9.33

a = 4.8421 Å, b = 4.8421 Å, c = 10.5997 Å
α = 90.00°, β = 90.00°, γ = 90.00°
Positions (direct):
Pm (0.0000, 0.0000, 0.0000)
Nd (0.0000, 0.5000, 0.2584)
Nd (0.0000, 0.5000, 0.7416)
Nd (0.5000, 0.0000, 0.2584)
Nd (0.5000, 0.0000, 0.7416)
Nd (0.5000, 0.5000, 0.5000)
Tl (0.0000, 0.0000, 0.5000)



DFT (PBE) results for a relaxed CaEuDyEr crystal.

Calculated values
- formation enthalpy at 0 K (eV per atom) = 0.157
- magnetic moment (μB per atom) = 1.85
- crystal system = cubic
- Fermi-level density of states (states/eV per cell) = 5.48

a = 5.8316 Å, b = 5.8316 Å, c = 5.8316 Å
α = 60.00°, β = 60.00°, γ = 60.00°
Positions (direct):
Ca (0.0000, 0.0000, 0.0000)
Eu (0.2500, 0.2500, 0.2500)
Dy (0.7500, 0.7500, 0.7500)
Er (0.5000, 0.5000, 0.5000)



DFT (PBE) results for a relaxed RbNaSbF6 crystal.

Calculated values
- magnetic moment (μB per atom) = 0.10
- crystal system = trigonal
- E_form (uncorrected) (eV/atom) = -2.56
- Fermi-level density of states (states/eV per cell) = 2.63

a = 5.9791 Å, b = 5.9791 Å, c = 5.8396 Å
α = 90.00°, β = 90.00°, γ = 120.00°
Positions (direct):
Rb (0.0000, 0.0000, 0.0000)
Na (0.6667, 0.3333, 0.5000)
Sb (0.3333, 0.6667, 0.5000)
F (0.0355, 0.3938, 0.6975)
F (0.0355, 0.6417, 0.3025)
F (0.3583, 0.3938, 0.3025)
F (0.3583, 0.9645, 0.6975)
F (0.6062, 0.6417, 0.6975)
F (0.6062, 0.9645, 0.3025)



DFT (PBE) results for a relaxed Li2ReOs crystal.

Calculated values
- formation enthalpy at 0 K (eV per atom) = 0.868
- magnetic moment (μB per atom) = 0.00
- crystal system = cubic
- Fermi-level density of states (states/eV per cell) = 4.97
- ΔE to the lowest computed polymorph (meV per atom) = 754

a = 4.1022 Å, b = 4.1022 Å, c = 4.1022 Å
α = 60.00°, β = 60.00°, γ = 60.00°
Positions (direct):
Li (0.2500, 0.2500, 0.2500)
Li (0.7500, 0.7500, 0.7500)
Re (0.0000, 0.0000, 0.0000)
Os (0.5000, 0.5000, 0.5000)